Entry 1:
Entry from Alexandria: a relaxed structure of Zn2Pd2Au7 (GGA-PBE).

```
Zn2Pd2Au7
1.0
5.0274 -4.6226 0.0000
5.0274 4.6226 0.0000
-2.1536 0.0000 4.1524
Zn Pd Au
2 2 7
Direct
0.1679 0.1679 0.1666
0.8321 0.8321 0.8334
0.2266 0.7734 0.0000
0.7734 0.2266 0.0000
0.0000 0.0000 0.5000
0.1110 0.5640 0.3375
0.3416 0.3416 0.8404
0.4360 0.8890 0.6625
0.5640 0.1110 0.3375
0.6584 0.6584 0.1596
0.8890 0.4360 0.6625
```

The value obtained for the density of states at the Fermi level is 0.34 states/eV/atom. As for the total energy: -3.374 eV/atom. As for the excess energy over the best structure of this formula in the dataset: 0 meV per atom.



Entry 2:
Entry from Alexandria: a relaxed structure of KAsAuSe2 (GGA-PBE).

```
KAsAuSe2
1.0
5.7003 0.0000 0.0000
0.0000 5.7003 0.0000
0.0000 0.0000 5.7438
K As Au Se
1 1 1 2
Direct
0.0000 0.0000 0.0000
0.0000 0.0000 0.5000
0.5000 0.5000 0.5000
0.0000 0.5000 0.0000
0.5000 0.0000 0.0000
```

The value obtained for the density of states at the Fermi level is 1.25 states/eV/atom. As for the total energy: -1.808 eV/atom. As for the excess energy over the best structure of this formula in the dataset: 1334 meV per atom. Its uncorrected formation energy is 1.391 eV/atom.



Entry 3:
Entry from Alexandria: a relaxed structure of MnIrRh6 (GGA-PBE).

```
MnIrRh6
1.0
4.8955 0.0000 0.0000
-0.3280 4.9033 0.0000
-0.3195 -0.3342 4.8928
Mn Ir Rh
1 1 6
Direct
0.0000 0.0000 0.0000
0.5000 0.5000 0.5000
0.0274 0.4536 0.7490
0.2510 0.9705 0.5480
0.4541 0.7485 0.0279
0.5459 0.2515 0.9721
0.7490 0.0295 0.4520
0.9726 0.5464 0.2510
```

The value obtained for the density of states at the Fermi level is 1.53 states/eV/atom. As for the total energy: -7.625 eV/atom. As for the excess energy over the best structure of this formula in the dataset: 200 meV per atom.



Entry 4:
Entry from Alexandria: a relaxed structure of BeSe3S (GGA-PBE).

```
BeSe3S
1.0
4.5464 0.0000 0.0000
0.0000 4.5464 0.0000
0.0000 0.0000 4.5464
Be Se S
1 3 1
Direct
0.0000 0.0000 0.0000
0.0000 0.0000 0.5000
0.0000 0.5000 0.0000
0.5000 0.0000 0.0000
0.5000 0.5000 0.5000
```

The value obtained for the density of states at the Fermi level is 0.89 states/eV/atom. As for the total energy: -3.092 eV/atom. As for the excess energy over the best structure of this formula in the dataset: 0 meV per atom. Its uncorrected formation energy is 0.570 eV/atom.



Entry 5:
Entry from Alexandria: a relaxed structure of NaNp2US5 (GGA-PBE).

```
NaNp2US5
1.0
-2.4861 3.4292 6.9094
2.4861 -3.4292 6.9094
2.4861 3.4292 -6.9094
Na Np U S
1 2 1 5
Direct
0.0000 0.0000 0.0000
0.2980 0.7980 0.5000
0.7020 0.2020 0.5000
0.5000 0.5000 0.0000
0.1071 0.3479 0.7592
0.4113 0.6521 0.7592
0.5000 0.0000 0.5000
0.5887 0.3479 0.2408
0.8929 0.6521 0.2408
```

The value obtained for the density of states at the Fermi level is 2.36 states/eV/atom. As for the total energy: -7.762 eV/atom. Its uncorrected formation energy is -1.192 eV/atom.



Entry 6:
Entry from Alexandria: a relaxed structure of NdYTlPb (GGA-PBE).

```
NdYTlPb
1.0
7.7560 0.0000 0.0000
0.0000 7.7560 0.0000
0.0000 0.0000 7.7560
Nd Y Tl Pb
4 4 4 4
Direct
0.0000 0.0000 0.0000
0.0000 0.5000 0.5000
0.5000 0.0000 0.5000
0.5000 0.5000 0.0000
0.0000 0.0000 0.5000
0.0000 0.5000 0.0000
0.5000 0.0000 0.0000
0.5000 0.5000 0.5000
0.2500 0.2500 0.2500
0.2500 0.7500 0.7500
0.7500 0.2500 0.7500
0.7500 0.7500 0.2500
0.2500 0.2500 0.7500
0.2500 0.7500 0.2500
0.7500 0.2500 0.2500
0.7500 0.7500 0.7500
```

The value obtained for the density of states at the Fermi level is 0.67 states/eV/atom. As for the total energy: -4.733 eV/atom. As for the excess energy over the best structure of this formula in the dataset: 33 meV per atom.



Entry 7:
Entry from Alexandria: a relaxed structure of LiCdRu2 (GGA-PBE).

```
LiCdRu2
1.0
3.1097 0.0000 0.0000
0.0000 3.1097 0.0000
0.0000 0.0000 6.1496
Li Cd Ru
1 1 2
Direct
0.0000 0.0000 0.0000
0.0000 0.0000 0.5000
0.5000 0.5000 0.1933
0.5000 0.5000 0.8067
```

The value obtained for the density of states at the Fermi level is 1.25 states/eV/atom. As for the total energy: -4.888 eV/atom.



Entry 8:
Entry from Alexandria: a relaxed structure of ScIn2Rh5 (GGA-PBE).

```
ScIn2Rh5
1.0
4.6267 0.0000 0.0000
0.0000 4.6267 0.0000
0.0000 0.0000 12.1449
Sc In Rh
2 4 10
Direct
0.0000 0.0000 0.0000
0.5000 0.5000 0.5000
0.0000 0.0000 0.2563
0.0000 0.0000 0.7437
0.5000 0.5000 0.2437
0.5000 0.5000 0.7563
0.0000 0.0000 0.5000
0.0000 0.5000 0.1194
0.0000 0.5000 0.3806
0.0000 0.5000 0.6194
0.0000 0.5000 0.8806
0.5000 0.0000 0.1194
0.5000 0.0000 0.3806
0.5000 0.0000 0.6194
0.5000 0.0000 0.8806
0.5000 0.5000 0.0000
```

The value obtained for the density of states at the Fermi level is 1.11 states/eV/atom. As for the total energy: -6.500 eV/atom.



Entry 9:
Entry from Alexandria: a relaxed structure of Np4AgO12 (GGA-PBE).

```
Np4AgO12
1.0
-4.1099 4.1115 4.1244
4.1099 -4.1115 4.1244
4.1099 4.1115 -4.1244
Np Ag O
4 1 12
Direct
0.0000 0.0000 0.5000
0.0000 0.5000 0.0000
0.5000 0.0000 0.0000
0.5000 0.5000 0.5000
0.0000 0.0000 0.0000
0.0286 0.2834 0.7452
0.2104 0.2099 0.4203
0.2104 0.7901 0.0005
0.2836 0.0355 0.7518
0.2836 0.5318 0.2482
0.4619 0.7166 0.7452
0.5381 0.2834 0.2548
0.7164 0.4682 0.7518
0.7164 0.9645 0.2482
0.7896 0.2099 0.9995
0.7896 0.7901 0.5797
0.9714 0.7166 0.2548
```

The value obtained for the density of states at the Fermi level is 0.42 states/eV/atom. As for the total energy: -9.249 eV/atom. Its uncorrected formation energy is -2.537 eV/atom.



Entry 10:
Entry from Alexandria: a relaxed structure of KCu2Rh2 (GGA-PBE).

```
KCu2Rh2
1.0
7.9428 0.0000 0.0000
0.0000 7.9428 0.0000
0.0000 0.0000 2.6251
K Cu Rh
2 4 4
Direct
0.0000 0.0000 0.0000
0.5000 0.5000 0.0000
0.1728 0.3272 0.5000
0.3272 0.8272 0.5000
0.6728 0.1728 0.5000
0.8272 0.6728 0.5000
0.1192 0.6192 0.0000
0.3808 0.1192 0.0000
0.6192 0.8808 0.0000
0.8808 0.3808 0.0000
```

The value obtained for the density of states at the Fermi level is 1.21 states/eV/atom. As for the total energy: -4.476 eV/atom. As for the excess energy over the best structure of this formula in the dataset: 0 meV per atom.



Entry 11:
Entry from Alexandria: a relaxed structure of KTa2Hg (GGA-PBE).

```
KTa2Hg
1.0
7.0513 0.0000 0.0000
0.0000 7.0513 0.0000
0.0000 0.0000 7.0513
K Ta Hg
4 8 4
Direct
0.0000 0.0000 0.0000
0.0000 0.5000 0.5000
0.5000 0.0000 0.5000
0.5000 0.5000 0.0000
0.0000 0.0000 0.5000
0.0000 0.5000 0.0000
0.2500 0.2500 0.7500
0.2500 0.7500 0.2500
0.5000 0.0000 0.0000
0.5000 0.5000 0.5000
0.7500 0.2500 0.2500
0.7500 0.7500 0.7500
0.2500 0.2500 0.2500
0.2500 0.7500 0.7500
0.7500 0.2500 0.7500
0.7500 0.7500 0.2500
```

The value obtained for the density of states at the Fermi level is 1.54 states/eV/atom. As for the total energy: -5.025 eV/atom.



Entry 12:
Entry from Alexandria: a relaxed structure of Ac12Ni5Sb3 (GGA-PBE).

```
Ac12Ni5Sb3
1.0
-9.0887 9.0887 9.0887
9.0887 -9.0887 9.0887
9.0887 9.0887 -9.0887
Ac Ni Sb
48 20 12
Direct
0.0286 0.2053 0.1205
0.0286 0.3233 0.9081
0.0848 0.7053 0.6767
0.0848 0.8795 0.4081
0.0919 0.6205 0.4152
0.0919 0.9714 0.6767
0.1205 0.0286 0.2053
0.1205 0.5919 0.9152
0.1767 0.2053 0.5848
0.1767 0.4714 0.5919
0.2053 0.1205 0.0286
0.2053 0.5848 0.1767
0.2947 0.3233 0.9152
0.2947 0.4714 0.3795
0.3233 0.9081 0.0286
0.3233 0.9152 0.2947
0.3795 0.2947 0.4714
0.3795 0.5848 0.9081
0.4081 0.0848 0.8795
0.4081 0.8233 0.5286
0.4152 0.0919 0.6205
0.4152 0.8233 0.7947
0.4714 0.3795 0.2947
0.4714 0.5919 0.1767
0.5286 0.4081 0.8233
0.5286 0.6205 0.7053
0.5848 0.1767 0.2053
0.5848 0.9081 0.3795
0.5919 0.1767 0.4714
0.5919 0.9152 0.1205
0.6205 0.4152 0.0919
0.6205 0.7053 0.5286
0.6767 0.0848 0.7053
0.6767 0.0919 0.9714
0.7053 0.5286 0.6205
0.7053 0.6767 0.0848
0.7947 0.4152 0.8233
0.7947 0.8795 0.9714
0.8233 0.5286 0.4081
0.8233 0.7947 0.4152
0.8795 0.4081 0.0848
0.8795 0.9714 0.7947
0.9081 0.0286 0.3233
0.9081 0.3795 0.5848
0.9152 0.1205 0.5919
0.9152 0.2947 0.3233
0.9714 0.6767 0.0919
0.9714 0.7947 0.8795
0.0000 0.0000 0.0000
0.0000 0.0000 0.5000
0.0000 0.5000 0.0000
0.0000 0.5000 0.5000
0.1250 0.7500 0.8750
0.1250 0.8750 0.2500
0.2500 0.1250 0.8750
0.2500 0.6250 0.3750
0.3750 0.2500 0.6250
0.3750 0.6250 0.7500
0.5000 0.0000 0.0000
0.5000 0.0000 0.5000
0.5000 0.5000 0.0000
0.5000 0.5000 0.5000
0.6250 0.3750 0.2500
0.6250 0.7500 0.3750
0.7500 0.3750 0.6250
0.7500 0.8750 0.1250
0.8750 0.1250 0.7500
0.8750 0.2500 0.1250
0.1250 0.2500 0.3750
0.1250 0.3750 0.7500
0.2500 0.3750 0.1250
0.2500 0.8750 0.6250
0.3750 0.1250 0.2500
0.3750 0.7500 0.1250
0.6250 0.2500 0.8750
0.6250 0.8750 0.7500
0.7500 0.1250 0.3750
0.7500 0.6250 0.8750
0.8750 0.6250 0.2500
0.8750 0.7500 0.6250
```

The value obtained for the density of states at the Fermi level is 0.89 states/eV/atom. As for the total energy: -4.794 eV/atom. Its uncorrected formation energy is -0.265 eV/atom.